[1]
{"formula": "Pm2Sm2Tl7", "functional": "PBE-GGA", "state": "relaxed", "e_form_ev_per_atom": 0.03, "space_group": "Cmmm (65)", "lattice_angstrom": [[7.0014, -0.0030, -0.5910], [0.0033, 7.6846, 0.0035], [-1.0260, -0.0024, 6.9510]], "species": ["Pm", "Pm", "Sm", "Sm", "Tl", "Tl", "Tl", "Tl", "Tl", "Tl", "Tl"], "frac_coords": [[0.6994, 0.0000, 0.3006], [0.3006, 0.0000, 0.6994], [0.8124, 0.5000, 0.8124], [0.1876, 0.5000, 0.1876], [0.9998, 0.2944, 0.5003], [0.5003, 0.7056, 0.9998], [0.0002, 0.7056, 0.4997], [0.4997, 0.2944, 0.0002], [0.0000, 0.0000, 0.0000], [0.5002, 0.7038, 0.4998], [0.4998, 0.2962, 0.5002]]}

---

[2]
{"formula": "PuUPa2As4", "functional": "PBE-GGA", "state": "relaxed", "e_form_ev_per_atom": -0.97, "space_group": "P2/m (10)", "lattice_angstrom": [[-2.5526, -0.9464, -3.0558], [1.3919, -6.8891, 0.9708], [-4.6295, -2.7022, 4.7040]], "species": ["Pu", "U", "Pa", "Pa", "As", "As", "As", "As"], "frac_coords": [[0.0000, 0.5000, 0.5000], [0.5000, 0.5000, 0.0000], [0.0000, 0.0000, 0.0000], [0.5000, 0.0000, 0.5000], [0.0000, 0.7508, 0.7506], [0.0000, 0.2492, 0.2494], [0.5000, 0.7514, 0.2482], [0.5000, 0.2486, 0.7518]]}

---

[3]
{"formula": "TlGaHg", "functional": "PBE-GGA", "state": "relaxed", "e_form_ev_per_atom": 0.04, "space_group": "P1 (1)", "lattice_angstrom": [[7.5413, -0.0378, 0.2245], [-3.1422, 7.8283, 0.2633], [2.4817, 1.9265, 2.8351]], "species": ["Tl", "Tl", "Hg", "Hg", "Ga", "Ga"], "frac_coords": [[0.4468, 0.6758, 0.8610], [0.1029, 0.8671, 0.5991], [0.7865, 0.4789, 0.6084], [0.2517, 0.2814, 0.7405], [0.6525, 0.1877, 0.3938], [0.7993, 0.0665, 0.8004]]}

---

[4]
{"formula": "La12Nd5Ho2", "functional": "PBE-GGA", "state": "relaxed", "e_form_ev_per_atom": 0.08, "de_polymorph_mev_per_atom": 0, "space_group": "P-1 (2)", "lattice_angstrom": [[-5.1685, 2.9153, -2.5271], [1.0824, -6.2382, -7.3169], [-10.3737, -7.4917, -0.1918]], "species": ["La", "La", "La", "La", "La", "La", "La", "La", "La", "La", "La", "La", "Nd", "Nd", "Nd", "Nd", "Nd", "Ho", "Ho"], "frac_coords": [[0.1089, 0.9479, 0.8627], [0.2057, 0.5935, 0.0307], [0.2106, 0.0606, 0.5474], [0.6450, 0.6625, 0.1121], [0.6595, 0.1709, 0.6321], [0.2373, 0.4498, 0.4060], [0.7627, 0.5502, 0.5940], [0.3550, 0.3375, 0.8879], [0.3405, 0.8291, 0.3679], [0.7943, 0.4065, 0.9693], [0.7894, 0.9394, 0.4526], [0.8911, 0.0521, 0.1373], [0.2968, 0.2147, 0.2227], [0.7518, 0.3117, 0.3080], [0.5000, 0.0000, 0.0000], [0.2482, 0.6883, 0.6920], [0.7032, 0.7853, 0.7773], [0.0738, 0.3076, 0.7161], [0.9262, 0.6924, 0.2839]]}

---

[5]
{"formula": "BaErSe2O8", "functional": "PBE-GGA", "state": "relaxed", "formation_energy_uncorrected_mev_per_atom": -1666, "space_group": "P-3m1 (164)", "lattice_angstrom": [[-5.2325, 2.4255, -0.1993], [0.6629, -5.2448, 2.3140], [1.2282, 3.2203, 6.9470]], "species": ["Ba", "Er", "Se", "Se", "O", "O", "O", "O", "O", "O", "O", "O"], "frac_coords": [[0.0000, 0.0000, 0.0000], [0.0000, 0.0000, 0.5000], [0.6667, 0.3333, 0.2464], [0.3333, 0.6667, 0.7536], [0.3333, 0.6667, 0.9692], [0.3291, 0.1646, 0.3062], [0.8354, 0.1645, 0.3062], [0.6667, 0.3333, 0.0308], [0.1646, 0.8355, 0.6938], [0.6709, 0.8354, 0.6938], [0.1645, 0.3291, 0.6938], [0.8355, 0.6709, 0.3062]]}

---

[6]
{"formula": "BaMgZn2O4", "functional": "PBE-GGA", "state": "relaxed", "formation_energy_uncorrected_mev_per_atom": -1895, "space_group": "I-42m (121)", "lattice_angstrom": [[5.3663, 0.0000, 0.0000], [2.6832, 4.7579, 0.7349], [2.6832, 1.1224, 4.6817]], "species": ["Ba", "Mg", "Zn", "Zn", "O", "O", "O", "O"], "frac_coords": [[0.0000, 0.0000, 0.0000], [0.5000, 0.5000, 0.5000], [0.2500, 0.2500, 0.2500], [0.7500, 0.7500, 0.7500], [0.4546, 0.1396, 0.5454], [0.1396, 0.8604, 0.4546], [0.8604, 0.5454, 0.1396], [0.5454, 0.4546, 0.8604]]}

---

[7]
{"formula": "Tb2Y3Th3", "functional": "PBE-GGA", "state": "relaxed", "e_form_ev_per_atom": 0.05, "space_group": "Pmmm (47)", "lattice_angstrom": [[5.0626, 0.0000, 0.0000], [0.0000, 5.0266, 0.0000], [0.0000, 0.0000, 10.1323]], "species": ["Tb", "Tb", "Y", "Y", "Y", "Th", "Th", "Th"], "frac_coords": [[0.0000, 0.0000, 0.7521], [0.0000, 0.0000, 0.2479], [0.5000, 0.0000, 0.5000], [0.0000, 0.5000, 0.0000], [0.0000, 0.5000, 0.5000], [0.5000, 0.5000, 0.7521], [0.5000, 0.5000, 0.2479], [0.5000, 0.0000, 0.0000]]}

---

[8]
{"formula": "Ac4LaPr2", "functional": "PBE-GGA", "state": "relaxed", "e_form_ev_per_atom": 0.22, "de_polymorph_mev_per_atom": 197, "space_group": "Cmmm (65)", "lattice_angstrom": [[-2.4978, 5.2084, 1.2398], [-3.8566, -3.1260, 5.3624], [4.4849, 0.7905, 5.7149]], "species": ["Pr", "Pr", "Ac", "Ac", "Ac", "Ac", "La"], "frac_coords": [[0.0000, 0.8040, 0.1960], [0.0000, 0.1960, 0.8040], [0.0000, 0.7021, 0.7021], [0.0000, 0.2979, 0.2979], [0.5000, 0.0000, 0.5000], [0.5000, 0.5000, 0.0000], [0.5000, 0.5000, 0.5000]]}

---

Calculated total energy (computed, eV/atom): -3.1937 -8.8733 -1.8554 -4.7683 -6.0931 -5.1325 -6.3183 -4.1973
Total magnetic moment (computed, μB per formula unit): 0.0 8.2 0.0 0.0 0.0 0.0 0.0 0.0